[1]
The following is a PBE-GGA calculation of crystalline La2MgZnRh at its relaxed geometry, from Alexandria via LeMat-Bulk.

Structure (POSCAR):
```
La2MgZnRh
1.0
-3.689 -2.534 3.139
1.475 -4.806 -2.146
3.434 -0.550 3.591
La Zn Mg Rh
2 1 1 1
Direct
0.500 0.000 0.000 La
0.000 0.500 0.000 La
0.000 0.000 0.500 Zn
0.500 0.500 0.500 Mg
0.000 0.000 0.000 Rh
```

- polymorph energy (0 for the lowest one) (eV/f.u.) = 0.00
- crystal system = tetragonal
- N(E_F) (states/eV/cell) = 4.040
- energy of formation from the pure elements (eV per atom) = -0.30

[2]
The following is a PBE-GGA calculation of crystalline Zn2AgSn at its relaxed geometry, from Alexandria via LeMat-Bulk.

Structure (POSCAR):
```
Zn2AgSn
1.0
4.176 0.000 0.000
0.000 4.255 0.000
0.000 0.000 4.255
Sn Ag Zn
1 1 2
Direct
0.500 0.000 0.000 Sn
0.500 0.500 0.500 Ag
0.000 0.000 0.500 Zn
0.000 0.500 0.000 Zn
```

- crystal system = tetragonal
- N(E_F) (states/eV/cell) = 1.689
- energy of formation from the pure elements (eV per atom) = 0.10

[3]
The following is a PBE-GGA calculation of crystalline InCuRh at its relaxed geometry, from Alexandria via LeMat-Bulk.

Structure (POSCAR):
```
InCuRh
1.0
0.225 -4.237 -3.302
2.417 -2.175 -3.032
1.759 -2.264 3.019
Rh In Cu
1 1 1
Direct
0.500 0.500 0.000 Rh
0.000 0.500 0.000 In
0.000 0.000 0.500 Cu
```

- polymorph energy (0 for the lowest one) (eV/f.u.) = 0.16
- crystal system = orthorhombic
- N(E_F) (states/eV/cell) = 0.830
- energy of formation from the pure elements (eV per atom) = -0.08

[4]
The following is a PBE-GGA calculation of crystalline Cs2GaHg5 at its relaxed geometry, from Alexandria via LeMat-Bulk.

Structure (POSCAR):
```
Cs2GaHg5
1.0
-6.190 -3.514 -1.759
-1.152 -1.515 7.080
0.706 7.451 -2.087
Hg Cs Ga
5 2 1
Direct
0.777 0.777 0.059 Hg
0.281 0.777 0.059 Hg
0.777 0.281 0.059 Hg
0.673 0.673 0.345 Hg
0.281 0.281 0.059 Hg
0.282 0.782 0.563 Cs
0.782 0.282 0.563 Cs
0.924 0.924 0.848 Ga
```

- crystal system = tetragonal
- N(E_F) (states/eV/cell) = 2.307
- energy of formation from the pure elements (eV per atom) = -0.17